## Mg2MnBr (PBE)

Data for a geometry-optimized Mg2MnBr structure.

a = 3.3142 Å, b = 3.3142 Å, c = 8.2426 Å
α = 90.00°, β = 90.00°, γ = 90.00°
Closest atoms and distances in Å follow each position.
Sites, in units of the cell vectors:
Mg1 0.5000 0.5000 0.2842  4 Mn 2.93, 4 Mg 3.15
Mg2 0.0000 0.0000 0.0280  8 Mg 3.15-3.31
Br1 0.5000 0.5000 0.6892  4 Mn 2.82
Mn1 0.0000 0.0000 0.4986  4 Br 2.82, 4 Mg 2.93

**Energy relative to the elements, uncorrected**: 0.05 eV/atom
**Offset from the most stable computed form**: 175 meV per atom
**Symmetry**: P4mm, No. 99
**Total DFT energy (no corrections)**: -13.8 eV/cell